An optimized crystal structure of Ta3Re3B4, computed with GGA-PBE.

Geometry as CIF:
```
data_Ta3Re3B4
_cell_length_a 3.088
_cell_length_b 8.226
_cell_length_c 9.628
_cell_angle_alpha 90.00
_cell_angle_beta 90.00
_cell_angle_gamma 90.00
_space_group_name_H-M_alt 'A m m 2'
_space_group_IT_number 38
loop_
_space_group_symop_operation_xyz
'x,y,z'
'-x,-y,z'
'-x,y,z'
'x,-y,z'
'x,y+1/2,z+1/2'
'-x,-y+1/2,z+1/2'
'-x,y+1/2,z+1/2'
'x,-y+1/2,z+1/2'
loop_
_atom_site_label
_atom_site_type_symbol
_atom_site_fract_x
_atom_site_fract_y
_atom_site_fract_z
_atom_site_occupancy
Ta1 Ta 0.000 0.000 0.000 1
Ta2 Ta 0.500 0.202 0.449 1
Re1 Re 0.000 0.000 0.292 1
Re2 Re 0.000 0.173 0.712 1
B1 B 0.500 0.000 0.621 1
B2 B 0.500 0.000 0.813 1
B3 B 0.500 0.124 0.164 1
```

Properties
The calculation puts the density of states at the Fermi level at 10.0 states/eV/cell. Its formation energy is -374 meV per atom.